Here is a relaxed PrCuSnH crystal from the Alexandria database. Energies are from PBE.

## Properties
E = -4.56 eV/atom
symmetry = P3m1 (156)

Cell lengths 4.492, 4.492, 4.205 Å; angles 90.00, 90.00, 120.00 degrees
Fractional positions:
Pr (0.572, 0.144, 0.310)
Cu (0.239, 0.477, 0.871)
Sn (0.905, 0.810, 0.794)
H (0.239, 0.477, 0.264)



Here is a relaxed Cu12H5Pt3 crystal from the Alexandria database. Energies are from PBE.

## Properties
E = -4.00 eV/atom
symmetry = Ia-3d (230)

Cell lengths 10.537, 10.537, 10.537 Å; angles 109.47, 109.47, 109.47 degrees
Fractional positions:
Pt (0.750, 0.375, 0.125)
Pt (0.875, 0.750, 0.125)
Pt (0.375, 0.750, 0.625)
Pt (0.250, 0.125, 0.375)
Pt (0.875, 0.125, 0.250)
Pt (0.375, 0.625, 0.250)
Pt (0.625, 0.375, 0.750)
Pt (0.125, 0.875, 0.750)
Pt (0.750, 0.875, 0.625)
Pt (0.625, 0.250, 0.375)
Pt (0.125, 0.250, 0.875)
Pt (0.250, 0.625, 0.875)
H (0.125, 0.375, 0.250)
H (0.000, 0.500, 0.000)
H (0.000, 0.000, 0.000)
H (0.375, 0.250, 0.125)
H (0.500, 0.000, 0.500)
H (0.500, 0.500, 0.000)
H (0.125, 0.750, 0.375)
H (0.750, 0.125, 0.875)
H (0.750, 0.625, 0.375)
H (0.375, 0.125, 0.750)
H (0.625, 0.875, 0.250)
H (0.500, 0.500, 0.500)
H (0.500, 0.000, 0.000)
H (0.000, 0.000, 0.500)
H (0.250, 0.375, 0.625)
H (0.250, 0.875, 0.125)
H (0.000, 0.500, 0.500)
H (0.875, 0.250, 0.625)
H (0.625, 0.750, 0.875)
H (0.875, 0.625, 0.750)
Cu (0.688, 0.092, 0.997)
Cu (0.309, 0.497, 0.405)
Cu (0.003, 0.408, 0.312)
Cu (0.497, 0.188, 0.092)
Cu (0.596, 0.688, 0.691)
Cu (0.003, 0.595, 0.191)
Cu (0.309, 0.812, 0.404)
Cu (0.095, 0.904, 0.092)
Cu (0.595, 0.003, 0.691)
Cu (0.688, 0.596, 0.191)
Cu (0.812, 0.503, 0.408)
Cu (0.809, 0.905, 0.997)
Cu (0.092, 0.688, 0.497)
Cu (0.408, 0.405, 0.096)
Cu (0.096, 0.905, 0.408)
Cu (0.404, 0.092, 0.595)
Cu (0.096, 0.191, 0.188)
Cu (0.503, 0.691, 0.095)
Cu (0.809, 0.904, 0.312)
Cu (0.092, 0.404, 0.095)
Cu (0.408, 0.003, 0.812)
Cu (0.595, 0.592, 0.404)
Cu (0.905, 0.809, 0.497)
Cu (0.812, 0.309, 0.904)
Cu (0.405, 0.408, 0.596)
Cu (0.095, 0.191, 0.503)
Cu (0.188, 0.691, 0.096)
Cu (0.191, 0.096, 0.688)
Cu (0.592, 0.997, 0.188)
Cu (0.908, 0.596, 0.905)
Cu (0.497, 0.309, 0.905)
Cu (0.596, 0.908, 0.405)
Cu (0.904, 0.809, 0.812)
Cu (0.904, 0.095, 0.592)
Cu (0.908, 0.312, 0.503)
Cu (0.191, 0.095, 0.003)
Cu (0.592, 0.595, 0.904)
Cu (0.405, 0.997, 0.309)
Cu (0.312, 0.404, 0.809)
Cu (0.188, 0.497, 0.592)
Cu (0.905, 0.096, 0.908)
Cu (0.691, 0.188, 0.596)
Cu (0.503, 0.812, 0.908)
Cu (0.997, 0.405, 0.809)
Cu (0.404, 0.312, 0.309)
Cu (0.997, 0.592, 0.688)
Cu (0.691, 0.503, 0.595)
Cu (0.312, 0.908, 0.003)



Here is a relaxed CuHPt crystal from the Alexandria database. Energies are from PBE.

## Properties
E = -4.17 eV/atom
symmetry = F-43m (216)
excess energy over the best structure of this formula in the dataset = 0.3507 eV per atom

Cell lengths 3.604, 3.604, 3.604 Å; angles 60.00, 60.00, 60.00 degrees
Fractional positions:
H (0.250, 0.250, 0.250)
Cu (0.500, 0.500, 0.500)
Pt (0.000, 0.000, 0.000)



Here is a relaxed CuH2Pt4 crystal from the Alexandria database. Energies are from PBE.

## Properties
E = -4.98 eV/atom
symmetry = R-3m (166)

Cell lengths 2.778, 2.778, 12.678 Å; angles 83.71, 83.71, 60.00 degrees
Fractional positions:
Cu (0.000, 0.000, 0.000)
H (0.772, 0.772, 0.685)
H (0.228, 0.228, 0.315)
Pt (0.277, 0.277, 0.169)
Pt (0.723, 0.723, 0.831)
Pt (0.866, 0.866, 0.401)
Pt (0.134, 0.134, 0.599)



Here is a relaxed CuH2Pt2 crystal from the Alexandria database. Energies are from PBE.

## Properties
E = -4.51 eV/atom
symmetry = P4/mbm (127)
excess energy over the best structure of this formula in the dataset = 0.0333 eV per atom

Cell lengths 6.129, 6.129, 2.907 Å; angles 90.00, 90.00, 90.00 degrees
Fractional positions:
H (0.374, 0.874, 0.000)
H (0.874, 0.626, 0.000)
H (0.626, 0.126, 0.000)
H (0.126, 0.374, 0.000)
Cu (0.000, 0.000, 0.000)
Cu (0.500, 0.500, 0.000)
Pt (0.265, 0.765, 0.500)
Pt (0.765, 0.735, 0.500)
Pt (0.735, 0.235, 0.500)
Pt (0.235, 0.265, 0.500)



Here is a relaxed CuH3Pt crystal from the Alexandria database. Energies are from PBE.

## Properties
E = -3.86 eV/atom
symmetry = Pm-3m (221)
excess energy over the best structure of this formula in the dataset = 0.1604 eV per atom

Cell lengths 3.507, 3.507, 3.507 Å; angles 90.00, 90.00, 90.00 degrees
Fractional positions:
H (0.000, 0.500, 0.000)
H (0.000, 0.000, 0.500)
H (0.500, 0.000, 0.000)
Cu (0.500, 0.500, 0.500)
Pt (0.000, 0.000, 0.000)



Question: Among the records above, which one has the highest E?
Answer: CuH3Pt



Question: Among the records above, which one has the lowest E?
Answer: CuH2Pt4